No. 1
# BaLa3Ta, relaxed, DFT PBE
# E_form = 1.653 eV/atom
# Spin magnetization = 0.000 μB per formula unit
# Space-group type = Pm-3m, No. 221
# ΔE to the lowest computed polymorph = 1.2511 eV per atom
# VASP energy = -20.29 eV per cell
data_BaLa3Ta
_chemical_formula_sum 'Ba1 La3 Ta1'
_space_group_name_H-M_alt 'P 1'
_space_group_IT_number 1
_space_group_name_Hall 'P 1'
_cell_length_a 5.761
_cell_length_b 5.761
_cell_length_c 5.761
_cell_angle_alpha 90.00
_cell_angle_beta 90.00
_cell_angle_gamma 90.00
loop_
_atom_site_label
_atom_site_fract_x
_atom_site_fract_y
_atom_site_fract_z
La1 0.500 0.000 0.000
La2 0.000 0.000 0.500
La3 0.000 0.500 0.000
Ba1 0.000 0.000 0.000
Ta1 0.500 0.500 0.500

No. 2
# BaLaTa3, relaxed, DFT PBE
# E_form = 1.942 eV/atom
# Spin magnetization = 0.000 μB per formula unit
# Space-group type = Pm-3m, No. 221
# ΔE to the lowest computed polymorph = 0.0000 eV per atom
# VASP energy = -32.70 eV per cell
data_BaLaTa3
_chemical_formula_sum 'Ba1 La1 Ta3'
_space_group_name_H-M_alt 'P 1'
_space_group_IT_number 1
_space_group_name_Hall 'P 1'
_cell_length_a 5.202
_cell_length_b 5.202
_cell_length_c 5.202
_cell_angle_alpha 90.00
_cell_angle_beta 90.00
_cell_angle_gamma 90.00
loop_
_atom_site_label
_atom_site_fract_x
_atom_site_fract_y
_atom_site_fract_z
La1 0.000 0.000 0.000
Ta1 0.500 0.000 0.000
Ta2 0.000 0.000 0.500
Ta3 0.000 0.500 0.000
Ba1 0.500 0.500 0.500

No. 3
# BaLa2Ta, relaxed, DFT PBE
# E_form = 0.629 eV/atom
# Spin magnetization = 0.000 μB per formula unit
# Space-group type = Cm, No. 8
# ΔE to the lowest computed polymorph = 0.2185 eV per atom
# VASP energy = -21.11 eV per cell
data_BaLa2Ta
_chemical_formula_sum 'Ba1 La2 Ta1'
_space_group_name_H-M_alt 'P 1'
_space_group_IT_number 1
_space_group_name_Hall 'P 1'
_cell_length_a 5.688
_cell_length_b 5.688
_cell_length_c 7.620
_cell_angle_alpha 86.18
_cell_angle_beta 86.18
_cell_angle_gamma 34.84
loop_
_atom_site_label
_atom_site_fract_x
_atom_site_fract_y
_atom_site_fract_z
Ta1 0.495 0.495 0.580
La1 0.757 0.757 0.705
La2 0.005 0.005 0.940
Ba1 0.243 0.243 0.275

No. 4
# BaLaTa2, relaxed, DFT PBE
# E_form = 1.245 eV/atom
# Spin magnetization = 0.000 μB per formula unit
# Space-group type = P4/mmm, No. 123
# ΔE to the lowest computed polymorph = 0.7807 eV per atom
# VASP energy = -25.58 eV per cell
data_BaLaTa2
_chemical_formula_sum 'Ba1 La1 Ta2'
_space_group_name_H-M_alt 'P 1'
_space_group_IT_number 1
_space_group_name_Hall 'P 1'
_cell_length_a 5.793
_cell_length_b 5.793
_cell_length_c 3.193
_cell_angle_alpha 90.00
_cell_angle_beta 90.00
_cell_angle_gamma 90.00
loop_
_atom_site_label
_atom_site_fract_x
_atom_site_fract_y
_atom_site_fract_z
La1 0.000 0.500 0.500
Ta1 0.000 0.000 0.000
Ta2 0.500 0.500 0.000
Ba1 0.500 0.000 0.500

No. 5
# BaLaTa2, relaxed, DFT PBE
# E_form = 0.951 eV/atom
# Spin magnetization = 0.000 μB per formula unit
# Space-group type = Pmmm, No. 47
# ΔE to the lowest computed polymorph = 0.4872 eV per atom
# VASP energy = -26.75 eV per cell
data_BaLaTa2
_chemical_formula_sum 'Ba1 La1 Ta2'
_space_group_name_H-M_alt 'P 1'
_space_group_IT_number 1
_space_group_name_Hall 'P 1'
_cell_length_a 3.148
_cell_length_b 5.200
_cell_length_c 6.951
_cell_angle_alpha 90.00
_cell_angle_beta 90.00
_cell_angle_gamma 90.00
loop_
_atom_site_label
_atom_site_fract_x
_atom_site_fract_y
_atom_site_fract_z
Ba1 0.500 0.500 0.250
Ta1 0.000 0.000 0.558
Ta2 0.000 0.000 0.942
La1 0.500 0.500 0.750

No. 6
# BaLa2Ta, relaxed, DFT PBE
# E_form = 0.411 eV/atom
# Spin magnetization = 0.000 μB per formula unit
# Space-group type = Pmmm, No. 47
# ΔE to the lowest computed polymorph = 0.0000 eV per atom
# VASP energy = -21.99 eV per cell
data_BaLa2Ta
_chemical_formula_sum 'Ba1 La2 Ta1'
_space_group_name_H-M_alt 'P 1'
_space_group_IT_number 1
_space_group_name_Hall 'P 1'
_cell_length_a 3.550
_cell_length_b 3.787
_cell_length_c 10.458
_cell_angle_alpha 90.00
_cell_angle_beta 90.00
_cell_angle_gamma 90.00
loop_
_atom_site_label
_atom_site_fract_x
_atom_site_fract_y
_atom_site_fract_z
Ta1 0.500 0.500 0.250
La1 0.000 0.000 0.433
La2 0.000 0.000 0.067
Ba1 0.500 0.500 0.750

No. 7
# BaLaTa2, relaxed, DFT PBE
# E_form = 0.806 eV/atom
# Spin magnetization = 0.000 μB per formula unit
# Space-group type = Imm2, No. 44
# ΔE to the lowest computed polymorph = 0.3421 eV per atom
# VASP energy = -27.33 eV per cell
data_BaLaTa2
_chemical_formula_sum 'Ba1 La1 Ta2'
_space_group_name_H-M_alt 'P 1'
_space_group_IT_number 1
_space_group_name_Hall 'P 1'
_cell_length_a 6.638
_cell_length_b 6.638
_cell_length_c 6.638
_cell_angle_alpha 149.55
_cell_angle_beta 127.74
_cell_angle_gamma 61.70
loop_
_atom_site_label
_atom_site_fract_x
_atom_site_fract_y
_atom_site_fract_z
La1 0.227 0.727 0.500
Ta1 0.961 0.961 0.000
Ta2 0.791 0.291 0.500
Ba1 0.522 0.522 0.000

No. 8
# BaLaTa2, relaxed, DFT PBE
# E_form = 1.052 eV/atom
# Spin magnetization = 0.000 μB per formula unit
# Space-group type = P4/mmm, No. 123
# ΔE to the lowest computed polymorph = 0.5875 eV per atom
# VASP energy = -26.35 eV per cell
data_BaLaTa2
_chemical_formula_sum 'Ba1 La1 Ta2'
_space_group_name_H-M_alt 'P 1'
_space_group_IT_number 1
_space_group_name_Hall 'P 1'
_cell_length_a 4.374
_cell_length_b 4.377
_cell_length_c 5.401
_cell_angle_alpha 90.00
_cell_angle_beta 90.00
_cell_angle_gamma 90.00
loop_
_atom_site_label
_atom_site_fract_x
_atom_site_fract_y
_atom_site_fract_z
Ta1 0.500 0.500 0.000
Ta2 0.000 0.000 0.000
Ba1 0.500 0.000 0.500
La1 0.000 0.500 0.500

No. 9
# BaLaTa2, relaxed, DFT PBE
# E_form = 1.038 eV/atom
# Spin magnetization = 0.000 μB per formula unit
# Space-group type = Cmmm, No. 65
# ΔE to the lowest computed polymorph = 0.5744 eV per atom
# VASP energy = -26.40 eV per cell
data_BaLaTa2
_chemical_formula_sum 'Ba1 La1 Ta2'
_space_group_name_H-M_alt 'P 1'
_space_group_IT_number 1
_space_group_name_Hall 'P 1'
_cell_length_a 6.910
_cell_length_b 6.251
_cell_length_c 3.095
_cell_angle_alpha 89.97
_cell_angle_beta 63.45
_cell_angle_gamma 116.24
loop_
_atom_site_label
_atom_site_fract_x
_atom_site_fract_y
_atom_site_fract_z
Ta1 0.500 0.000 0.500
Ta2 0.000 0.000 0.000
Ba1 0.000 0.500 0.500
La1 0.500 0.500 0.000

No. 10
# BaLaTa2, relaxed, DFT PBE
# E_form = 0.464 eV/atom
# Spin magnetization = 0.000 μB per formula unit
# Space-group type = Pm, No. 6
# ΔE to the lowest computed polymorph = 0.0000 eV per atom
# VASP energy = -28.70 eV per cell
data_BaLaTa2
_chemical_formula_sum 'Ba1 La1 Ta2'
_space_group_name_H-M_alt 'P 1'
_space_group_IT_number 1
_space_group_name_Hall 'P 1'
_cell_length_a 3.665
_cell_length_b 3.635
_cell_length_c 10.392
_cell_angle_alpha 64.87
_cell_angle_beta 90.00
_cell_angle_gamma 90.00
loop_
_atom_site_label
_atom_site_fract_x
_atom_site_fract_y
_atom_site_fract_z
Ba1 0.000 0.489 0.438
Ta1 0.500 0.323 0.170
Ta2 0.000 0.960 0.058
La1 0.500 0.728 0.834

No. 11
# BaLa2Ta, relaxed, DFT PBE
# E_form = 0.794 eV/atom
# Spin magnetization = 0.000 μB per formula unit
# Space-group type = C2/m, No. 12
# ΔE to the lowest computed polymorph = 0.3834 eV per atom
# VASP energy = -20.45 eV per cell
data_BaLa2Ta
_chemical_formula_sum 'Ba1 La2 Ta1'
_space_group_name_H-M_alt 'P 1'
_space_group_IT_number 1
_space_group_name_Hall 'P 1'
_cell_length_a 6.877
_cell_length_b 6.877
_cell_length_c 3.333
_cell_angle_alpha 76.47
_cell_angle_beta 76.47
_cell_angle_gamma 117.31
loop_
_atom_site_label
_atom_site_fract_x
_atom_site_fract_y
_atom_site_fract_z
Ta1 0.500 0.000 0.500
La1 0.000 0.000 0.000
La2 0.500 0.500 0.000
Ba1 0.000 0.500 0.500

No. 12
# BaLaTa2, relaxed, DFT PBE
# E_form = 1.078 eV/atom
# Spin magnetization = 0.013 μB per formula unit
# Space-group type = R-3m, No. 166
# ΔE to the lowest computed polymorph = 0.6141 eV per atom
# VASP energy = -26.24 eV per cell
data_BaLaTa2
_chemical_formula_sum 'Ba1 La1 Ta2'
_space_group_name_H-M_alt 'P 1'
_space_group_IT_number 1
_space_group_name_Hall 'P 1'
_cell_length_a 11.590
_cell_length_b 11.590
_cell_length_c 11.590
_cell_angle_alpha 16.20
_cell_angle_beta 16.20
_cell_angle_gamma 16.20
loop_
_atom_site_label
_atom_site_fract_x
_atom_site_fract_y
_atom_site_fract_z
La1 0.750 0.750 0.750
Ta1 0.006 0.006 0.006
Ta2 0.494 0.494 0.494
Ba1 0.250 0.250 0.250

Which of these has the lowest VASP energy?
BaLaTa3